DFT (GGA-PBE) results for a relaxed PtBr crystal.

Cell and atoms, written as POSCAR:
```
PtBr
1.0
0.000 8.072 8.158
2.430 0.000 8.158
2.430 8.072 0.000
Pt Br
4 4
Cartesian
1.823 6.054 1.681
3.038 10.089 5.760
1.823 6.054 10.555
3.038 10.089 14.634
0.608 0.074 2.039
0.608 3.962 2.039
4.253 12.181 14.276
4.253 16.069 14.276
```

Output
Calculated density: 5.71 g/cm3
Symmetry: No. 70
Spin magnetization: 0.00 μB per formula unit
Energy relative to the elements, uncorrected: 0.55 eV/f.u.


DFT (GGA-PBE) results for a relaxed Pt2Br crystal.

Cell and atoms, written as POSCAR:
```
Pt2Br
1.0
3.631 0.000 0.000
0.000 20.659 0.000
0.000 0.000 3.772
Pt Br
8 4
Cartesian
0.000 3.193 0.943
0.000 5.093 2.829
0.000 15.567 0.943
0.000 17.466 2.829
1.815 5.237 0.943
1.815 7.137 2.829
1.815 13.523 0.943
1.815 15.422 2.829
0.000 8.433 0.943
0.000 12.226 2.829
1.815 1.897 2.829
1.815 18.763 0.943
```

Output
Calculated density: 11.04 g/cm3
Symmetry: No. 63
Spin magnetization: 0.00 μB per formula unit
Energy relative to the elements, uncorrected: 1.32 eV/f.u.


DFT (GGA-PBE) results for a relaxed Pt2Br crystal.

Cell and atoms, written as POSCAR:
```
Pt2Br
1.0
12.465 0.000 0.000
0.000 3.451 0.000
-3.252 0.000 5.648
Pt Br
8 4
Cartesian
0.732 0.000 2.201
2.336 1.725 0.728
0.644 0.000 4.920
2.249 1.725 3.447
6.964 1.725 2.201
8.569 0.000 0.728
6.877 1.725 4.920
8.482 0.000 3.447
-2.236 1.725 4.242
5.217 0.000 1.406
3.996 0.000 4.242
11.449 1.725 1.406
```

Output
Calculated density: 12.85 g/cm3
Symmetry: No. 12
Spin magnetization: 0.00 μB per formula unit
Energy relative to the elements, uncorrected: 0.97 eV/f.u.


DFT (GGA-PBE) results for a relaxed Pt2Br crystal.

Cell and atoms, written as POSCAR:
```
Pt2Br
1.0
3.414 0.000 0.000
0.000 3.453 0.000
0.000 0.000 10.473
Pt Br
4 2
Cartesian
0.000 0.000 2.103
0.000 0.000 8.370
1.707 1.726 3.133
1.707 1.726 7.340
0.000 1.726 5.236
1.707 0.000 0.000
```

Output
Calculated density: 12.65 g/cm3
Symmetry: No. 71
Spin magnetization: 0.00 μB per formula unit
Energy relative to the elements, uncorrected: 1.21 eV/f.u.


DFT (GGA-PBE) results for a relaxed Pt4Br crystal.

Cell and atoms, written as POSCAR:
```
Pt4Br
1.0
5.775 0.000 0.000
0.000 5.775 0.000
0.000 0.000 5.775
Pt Br
8 2
Cartesian
1.444 1.444 1.444
1.444 1.444 4.331
1.444 4.331 1.444
1.444 4.331 4.331
4.331 1.444 1.444
4.331 1.444 4.331
4.331 4.331 1.444
4.331 4.331 4.331
0.000 0.000 0.000
2.887 2.887 2.887
```

Output
Calculated density: 14.84 g/cm3
Symmetry: No. 229
Spin magnetization: 0.00 μB per formula unit
Energy relative to the elements, uncorrected: 4.60 eV/f.u.


DFT (GGA-PBE) results for a relaxed Pt3Br2 crystal.

Cell and atoms, written as POSCAR:
```
Pt3Br2
1.0
3.424 0.000 0.000
-1.712 2.965 0.000
0.000 0.000 9.519
Pt Br
3 2
Cartesian
0.000 0.000 0.000
0.000 1.977 3.889
1.712 0.988 5.630
0.000 1.977 7.639
1.712 0.988 1.880
```

Output
Calculated density: 12.80 g/cm3
Symmetry: No. 164
Spin magnetization: 0.00 μB per formula unit
Energy relative to the elements, uncorrected: 2.83 eV/f.u.